1.
Entry from the Alexandria database: Ag2P after structural relaxation (PBE).

Calculated values
calculated formation energy: 258 meV/atom
energy above the most stable polymorph in this dataset: 88.5 meV/atom
M_tot: 0.000 μB per atom
space group: Pnma (62)

abc: 3.667 6.783 8.648
angles: 90.00 90.00 90.00
Atoms (fractional coordinates):
Ag: 0.250 0.000 0.836
P: 0.250 0.291 0.170
P: 0.250 0.791 0.330
P: 0.750 0.209 0.670
Ag: 0.750 0.335 0.950
Ag: 0.250 0.665 0.050
Ag: 0.750 0.000 0.164
Ag: 0.750 0.500 0.336
P: 0.750 0.709 0.830
Ag: 0.250 0.165 0.450
Ag: 0.750 0.835 0.550
Ag: 0.250 0.500 0.664

2.
Entry from the Alexandria database: Tl2CuAs after structural relaxation (PBE).

Calculated values
calculated formation energy: 335 meV/atom
energy above the most stable polymorph in this dataset: 363.8 meV/atom
M_tot: 0.000 μB per atom
space group: Immm (71)

abc: 5.219 5.219 5.219
angles: 129.00 118.12 84.22
Atoms (fractional coordinates):
Cu: 0.250 0.750 0.500
As: 0.750 0.250 0.500
Tl: 0.484 0.484 0.000
Tl: 0.016 0.016 0.000

3.
Entry from the Alexandria database: BaYCl3 after structural relaxation (PBE).

Calculated values
energy above the most stable polymorph in this dataset: 456.1 meV/atom
M_tot: 0.375 μB per atom
formation energy without anion corrections: -1.202 eV per atom
space group: Pm-3m (221)

abc: 5.967 5.967 5.967
angles: 90.00 90.00 90.00
Last column: magnetic moment on the atom in μB.
Atoms (fractional coordinates):
Ba: 0.000 0.000 0.000  0.00
Cl: 0.000 0.000 0.500  -0.03
Y: 0.500 0.500 0.500  -0.84
Cl: 0.500 0.000 0.000  -0.02
Cl: 0.000 0.500 0.000  -0.03

4.
Entry from the Alexandria database: CdBr3 after structural relaxation (PBE).

Calculated values
M_tot: 0.000 μB per atom
formation energy without anion corrections: -0.027 eV per atom
space group: R-3m (166)

abc: 5.364 5.364 5.364
angles: 109.59 109.59 109.59
Atoms (fractional coordinates):
Br: 0.500 0.500 0.000
Cd: 0.500 0.000 0.500
Br: 0.000 0.000 0.000
Br: 0.000 0.500 0.500

5.
Entry from the Alexandria database: LaTlBi4 after structural relaxation (PBE).

Calculated values
calculated formation energy: -196 meV/atom
M_tot: 0.000 μB per atom
space group: F-43m (216)

abc: 6.603 6.603 6.603
angles: 60.00 60.00 60.00
Atoms (fractional coordinates):
Bi: 0.123 0.626 0.626
La: 0.250 0.250 0.250
Bi: 0.626 0.123 0.626
Bi: 0.626 0.626 0.123
Tl: 0.000 0.000 0.000
Bi: 0.626 0.626 0.626

6.
Entry from the Alexandria database: Er2Zn2Ga3 after structural relaxation (PBE).

Calculated values
calculated formation energy: -525 meV/atom
energy above the most stable polymorph in this dataset: 0.0 meV/atom
M_tot: 0.000 μB per atom
space group: Cmcm (63)

abc: 4.268 6.866 9.490
angles: 90.00 103.00 90.00
Atoms (fractional coordinates):
Zn: 0.314 0.061 0.628
Ga: 0.440 0.930 0.879
Er: 0.843 0.750 0.687
Ga: 0.224 0.750 0.447
Zn: 0.686 0.561 0.372
Er: 0.951 0.250 0.901
Ga: 0.560 0.070 0.121
Ga: 0.560 0.430 0.121
Er: 0.049 0.750 0.099
Ga: 0.440 0.570 0.879
Zn: 0.314 0.439 0.628
Zn: 0.686 0.939 0.372
Er: 0.157 0.250 0.313
Ga: 0.776 0.250 0.553

7.
Entry from the Alexandria database: Sr2LaPd2 after structural relaxation (PBE).

Calculated values
calculated formation energy: -271 meV/atom
energy above the most stable polymorph in this dataset: 253.0 meV/atom
M_tot: 0.070 μB per atom
space group: P4/mbm (127)

abc: 8.986 8.986 3.443
angles: 90.00 90.00 90.00
Last column: magnetic moment on the atom in μB.
Atoms (fractional coordinates):
Pd: 0.332 0.168 0.500  0.00
La: 0.500 0.500 0.000  0.18
Sr: 0.366 0.866 0.000  0.00
Pd: 0.168 0.668 0.500  0.00
Sr: 0.634 0.134 0.000  0.00
La: 0.000 0.000 0.000  0.18
Sr: 0.866 0.634 0.000  0.00
Pd: 0.832 0.332 0.500  0.00
Pd: 0.668 0.832 0.500  0.00
Sr: 0.134 0.366 0.000  0.00

8.
Entry from the Alexandria database: ErTm3In3 after structural relaxation (PBE).

Calculated values
calculated formation energy: -318 meV/atom
energy above the most stable polymorph in this dataset: 0.0 meV/atom
M_tot: 0.000 μB per atom
space group: P6_3/m (176)

abc: 5.138 9.195 9.195
angles: 120.00 90.00 90.00
Atoms (fractional coordinates):
In: 0.750 0.619 0.545
Er: 0.750 0.333 0.667
In: 0.750 0.455 0.074
In: 0.250 0.074 0.619
Tm: 0.750 0.006 0.774
Tm: 0.750 0.226 0.232
Tm: 0.750 0.768 0.994
In: 0.750 0.926 0.381
Tm: 0.250 0.232 0.006
In: 0.250 0.381 0.455
Tm: 0.250 0.774 0.768
In: 0.250 0.545 0.926
Tm: 0.250 0.994 0.226
Er: 0.250 0.667 0.333